Below is crystalline CsBeNiSb at its relaxed geometry, with properties calculated at the PBE level.

## Properties
Distance to the lowest polymorph of the same formula: 0.000 eV per atom
Theoretical density: 5.5 g cm⁻³
Magnetization: 0.02 μB per formula unit

Geometry as CIF:
```
data_CsBeNiSb
_cell_length_a 7.2874
_cell_length_b 7.2874
_cell_length_c 7.2874
_cell_angle_alpha 90.00
_cell_angle_beta 90.00
_cell_angle_gamma 90.00
_symmetry_space_group_name_H-M 'F -4 3 m'
_symmetry_Int_Tables_number 216
_symmetry_space_group_name_Hall 'F -4 2 3'
loop_
_atom_site_label
_atom_site_type_symbol
_atom_site_fract_x
_atom_site_fract_y
_atom_site_fract_z
Cs1 Cs 0.0000 0.0000 0.0000
Be1 Be 0.2500 0.2500 0.2500
Ni1 Ni 0.0000 0.0000 0.5000
Sb1 Sb 0.2500 0.2500 0.7500
```